1.
DFT (GGA-PBE) results for a relaxed structure of MgAlPd6.

The structure in extended XYZ format:
```
8
Lattice="3.8625 -2.6785 0.0000 3.8625 2.6785 0.0000 -2.6761 0.0000 6.6885" Properties=species:S:1:pos:R:3 pbc="T T T"
Mg 0.0000 0.0000 0.0000
Al 2.5245 0.0000 3.3443
Pd 1.8664 1.3716 1.3661
Pd 0.0047 0.0000 2.9439
Pd 3.1827 1.3716 5.3224
Pd 1.8664 -1.3716 1.3661
Pd 5.0444 0.0000 3.7446
Pd 3.1827 -1.3716 5.3224
```

Calculated values
V	17.30	Å³/atom
total magnetic moment	0.000	μB/atom
polymorph energy (0 for the lowest one)	185	kJ/mol of formula units
calculated formation energy	-0.297	eV/atom
total energy	-4.859	eV/atom
space-group type	C2/m
DOS(E_F)	0.536	states/eV/atom



2.
DFT (GGA-PBE) results for a relaxed structure of TbYGaAu.

The structure in extended XYZ format:
```
4
Lattice="0.0000 3.6186 3.6186 3.6186 0.0000 3.6186 3.6186 3.6186 0.0000" Properties=species:S:1:pos:R:3 pbc="T T T"
Tb 0.0000 0.0000 0.0000
Y 3.6186 3.6186 3.6186
Ga 5.4279 5.4279 5.4279
Au 1.8093 1.8093 1.8093
```

Calculated values
V	23.69	Å³/atom
total magnetic moment	0.000	μB/atom
polymorph energy (0 for the lowest one)	12	kJ/mol of formula units
calculated formation energy	-0.702	eV/atom
total energy	-5.051	eV/atom
space-group type	F-43m
DOS(E_F)	0.726	states/eV/atom



3.
DFT (GGA-PBE) results for a relaxed structure of DyYCuIr.

The structure in extended XYZ format:
```
4
Lattice="0.0000 3.4506 3.4506 3.4506 0.0000 3.4506 3.4506 3.4506 0.0000" Properties=species:S:1:pos:R:3 pbc="T T T"
Dy 0.0000 0.0000 0.0000
Y 3.4506 3.4506 3.4506
Cu 1.7253 1.7253 1.7253
Ir 5.1759 5.1759 5.1759
```

Calculated values
V	20.54	Å³/atom
total magnetic moment	0.000	μB/atom
calculated formation energy	-0.582	eV/atom
total energy	-6.588	eV/atom
space-group type	F-43m
DOS(E_F)	0.705	states/eV/atom



4.
DFT (GGA-PBE) results for a relaxed structure of Dy4Tm15Th.

The structure in extended XYZ format:
```
20
Lattice="4.9620 0.0000 0.0000 0.0000 4.9620 0.0000 0.0000 0.0000 24.7062" Properties=species:S:1:pos:R:3 pbc="T T T"
Dy 0.0000 0.0000 2.4670
Dy 0.0000 0.0000 7.4137
Dy 0.0000 0.0000 17.2925
Dy 0.0000 0.0000 22.2392
Tm 0.0000 2.4810 0.0000
Tm 0.0000 2.4810 4.9400
Tm 0.0000 2.4810 9.8932
Tm 0.0000 2.4810 14.8130
Tm 0.0000 2.4810 19.7662
Tm 2.4810 0.0000 0.0000
Tm 2.4810 0.0000 4.9400
Tm 2.4810 0.0000 9.8932
Tm 2.4810 0.0000 14.8130
Tm 2.4810 0.0000 19.7662
Tm 2.4810 2.4810 2.4725
Tm 2.4810 2.4810 7.3856
Tm 2.4810 2.4810 12.3531
Tm 2.4810 2.4810 17.3206
Tm 2.4810 2.4810 22.2337
Th 0.0000 0.0000 12.3531
```

Calculated values
V	30.42	Å³/atom
total magnetic moment	0.000	μB/atom
calculated formation energy	0.028	eV/atom
total energy	-4.618	eV/atom
space-group type	P4/mmm
DOS(E_F)	1.445	states/eV/atom



5.
DFT (GGA-PBE) results for a relaxed structure of K2TcIr.

The structure in extended XYZ format:
```
4
Lattice="1.4175 0.8184 11.5688 -1.4175 0.8184 11.5688 0.0000 -1.6368 11.5688" Properties=species:S:1:pos:R:3 pbc="T T T"
K 0.0000 0.0000 8.5777
K 0.0000 0.0000 26.1287
Tc 0.0000 0.0000 0.0000
Ir 0.0000 0.0000 17.3532
```

Calculated values
V	20.13	Å³/atom
total magnetic moment	0.244	μB/atom
polymorph energy (0 for the lowest one)	234	kJ/mol of formula units
calculated formation energy	1.135	eV/atom
total energy	-4.221	eV/atom
space-group type	R-3m
DOS(E_F)	0.567	states/eV/atom



6.
DFT (GGA-PBE) results for a relaxed structure of SmHoMgRh.

The structure in extended XYZ format:
```
4
Lattice="0.0000 3.6024 3.6024 3.6024 0.0000 3.6024 3.6024 3.6024 0.0000" Properties=species:S:1:pos:R:3 pbc="T T T"
Sm 0.0000 0.0000 0.0000
Ho 3.6024 3.6024 3.6024
Mg 5.4036 5.4036 5.4036
Rh 1.8012 1.8012 1.8012
```

Calculated values
V	23.37	Å³/atom
total magnetic moment	0.000	μB/atom
calculated formation energy	-0.379	eV/atom
total energy	-4.940	eV/atom
space-group type	F-43m
DOS(E_F)	0.370	states/eV/atom